a) The following is a DFT calculation (PBE-GGA) of crystalline RbCd3F at its relaxed geometry.

For the total magnetization, the calculation gives 0.013 μB per atom.

It has space group Pm-3m (No. 221), with a = 7.151 Å, b = 7.151 Å, c = 7.151 Å, α = 90.00°, β = 90.00° and γ = 90.00°. The inequivalent atoms are Rb at (0.000, 0.000, 0.000), Cd at (0.000, 0.000, 0.500) and F at (0.500, 0.500, 0.500).

=====

b) The following is a DFT calculation (PBE-GGA) of crystalline RbCd3F at its relaxed geometry.

For the total magnetization, the calculation gives 0.000 μB per atom.

It has space group Pm-3m (No. 221), with a = 5.481 Å, b = 5.481 Å, c = 5.481 Å, α = 90.00°, β = 90.00° and γ = 90.00°. The inequivalent atoms are Rb at (0.000, 0.000, 0.000), Cd at (0.000, 0.500, 0.500) and F at (0.500, 0.500, 0.500).

=====

Energetically preferred structure: b) | next structure: +0.501 eV/atom

=====

a) The following is a DFT calculation (PBE-GGA) of crystalline Rb3CdF6 at its relaxed geometry.

For the total magnetization, the calculation gives 0.102 μB per atom.

It has space group P2_1/c (No. 14), with a = 6.593 Å, b = 6.857 Å, c = 11.467 Å, α = 90.00°, β = 125.02° and γ = 90.00°. The inequivalent atoms are Rb at (0.000, 0.000, 0.000), Rb at (0.232, 0.051, 0.747), Cd at (0.500, 0.000, 0.500), F at (0.188, 0.178, 0.455), F at (0.265, 0.739, 0.436) and F at (0.383, 0.049, 0.281).

=====

b) The following is a DFT calculation (PBE-GGA) of crystalline Rb3CdF6 at its relaxed geometry.

For the total magnetization, the calculation gives 0.102 μB per atom.

It has space group R-3 (No. 148, hexagonal axes), with a = 11.1292 Å, b = 11.1292 Å, c = 12.9553 Å, α = 90.00°, β = 90.00° and γ = 120.00°. The inequivalent atoms are Rb at (0.0387, 0.2692, 0.2072), Cd at (0.0000, 0.0000, 0.0000), Cd at (0.0000, 0.0000, 0.5000), F at (0.0240, 0.1774, 0.4090) and F at (0.0248, 0.1705, 0.9000).

=====

Energetically preferred structure: a) | next structure: +0.006 eV/atom

=====

a) The following is a DFT calculation (PBE-GGA) of crystalline RbCdF4 at its relaxed geometry.

For the total magnetization, the calculation gives 0.000 μB per atom.

It has space group Cmcm (No. 63), with a = 4.416 Å, b = 16.682 Å, c = 6.397 Å, α = 90.00°, β = 90.00° and γ = 90.00°. The inequivalent atoms are Rb at (0.000, 0.171, 0.250), Cd at (0.000, 0.414, 0.250), F at (0.000, 0.082, 0.750), F at (0.000, 0.324, 0.020) and F at (0.000, 0.500, 0.000).

=====

b) The following is a DFT calculation (PBE-GGA) of crystalline RbCdF4 at its relaxed geometry.

For the total magnetization, the calculation gives 0.171 μB per atom.

It has space group P4/mmm (No. 123), with a = 3.899 Å, b = 3.899 Å, c = 6.765 Å, α = 90.00°, β = 90.00° and γ = 90.00°. The inequivalent atoms are Rb at (0.000, 0.000, 0.000), Cd at (0.500, 0.500, 0.500) and F at (0.000, 0.500, 0.302).

=====

Energetically preferred structure: a) | next structure: +0.068 eV/atom

=====

a) The following is a DFT calculation (PBE-GGA) of crystalline RbCd4F8 at its relaxed geometry.

For the total magnetization, the calculation gives 0.000 μB per atom.

It has space group Pm-3m (No. 221), with a = 5.856 Å, b = 5.856 Å, c = 5.856 Å, α = 90.00°, β = 90.00° and γ = 90.00°. The inequivalent atoms are Rb at (0.000, 0.000, 0.000), Cd at (0.000, 0.000, 0.500), Cd at (0.500, 0.500, 0.500) and F at (0.255, 0.255, 0.255).

=====

b) The following is a DFT calculation (PBE-GGA) of crystalline RbCd4F8 at its relaxed geometry.

For the total magnetization, the calculation gives 0.000 μB per atom.

It has space group R-3m (No. 166, hexagonal axes), with a = 7.0581 Å, b = 7.0581 Å, c = 20.0713 Å, α = 90.00°, β = 90.00° and γ = 120.00°. The inequivalent atoms are Rb at (0.0000, 0.0000, 0.0000), Cd at (0.0000, 0.0000, 0.5000), Cd at (0.0000, 0.5000, 0.5000), F at (0.0000, 0.0000, 0.2203) and F at (0.0055, 0.5027, 0.7758).

=====

Energetically preferred structure: b) | next structure: +0.268 eV/atom

=====

a) The following is a DFT calculation (PBE-GGA) of crystalline Rb2Cd2F5 at its relaxed geometry.

For the total magnetization, the calculation gives 0.000 μB per atom.

It has space group P4/mmm (No. 123), with a = 4.667 Å, b = 4.667 Å, c = 7.759 Å, α = 90.00°, β = 90.00° and γ = 90.00°. The inequivalent atoms are Rb at (0.000, 0.000, 0.000), Rb at (0.000, 0.000, 0.500), Cd at (0.500, 0.500, 0.210), F at (0.000, 0.500, 0.222) and F at (0.500, 0.500, 0.500).

=====

b) The following is a DFT calculation (PBE-GGA) of crystalline Rb2Cd2F5 at its relaxed geometry.

For the total magnetization, the calculation gives 0.000 μB per atom.

It has space group C2/m (No. 12), with a = 12.852 Å, b = 4.705 Å, c = 6.778 Å, α = 90.00°, β = 112.84° and γ = 90.00°. The inequivalent atoms are Rb at (0.110, 0.000, 0.327), Cd at (0.150, 0.500, 0.889), F at (0.000, 0.500, 0.000), F at (0.144, 0.000, 0.909) and F at (0.151, 0.500, 0.564).

=====

Energetically preferred structure: a) | next structure: +0.035 eV/atom

=====

a) The following is a DFT calculation (PBE-GGA) of crystalline CdReF3 at its relaxed geometry.

For the total magnetization, the calculation gives 0.553 μB per atom.

It has space group Pm-3m (No. 221), with a = 4.291 Å, b = 4.291 Å, c = 4.291 Å, α = 90.00°, β = 90.00° and γ = 90.00°. The inequivalent atoms are Cd at (0.000, 0.000, 0.000), Re at (0.500, 0.500, 0.500) and F at (0.000, 0.500, 0.500).

=====

b) The following is a DFT calculation (PBE-GGA) of crystalline CdReF3 at its relaxed geometry.

For the total magnetization, the calculation gives 1.194 μB per atom.

It has space group Pm-3m (No. 221), with a = 4.477 Å, b = 4.477 Å, c = 4.477 Å, α = 90.00°, β = 90.00° and γ = 90.00°. The inequivalent atoms are Cd at (0.000, 0.000, 0.000), Re at (0.500, 0.500, 0.500) and F at (0.000, 0.000, 0.500).

=====

Energetically preferred structure: a) | next structure: +0.269 eV/atom